LiPmVF6 | PBE+U | relaxed

The density of states at the Fermi level comes out at 0.0 states/eV/cell. Its total energy is -0.446 Ry per atom.

a = 5.695 Å, b = 5.695 Å, c = 8.896 Å
α = 90.00°, β = 90.00°, γ = 120.00°
Positions (direct):
1 Li 0.000 0.000 0.000
2 Li 0.000 0.000 0.500
3 Pm 0.333 0.667 0.250
4 Pm 0.667 0.333 0.750
5 V 0.333 0.667 0.750
6 V 0.667 0.333 0.250
7 F 0.022 0.343 0.625
8 F 0.022 0.679 0.875
9 F 0.321 0.343 0.875
10 F 0.321 0.978 0.625
11 F 0.343 0.022 0.125
12 F 0.343 0.321 0.375
13 F 0.657 0.679 0.625
14 F 0.657 0.978 0.875
15 F 0.679 0.022 0.375
16 F 0.679 0.657 0.125
17 F 0.978 0.321 0.125
18 F 0.978 0.657 0.375